NiPtPbO4 (PBE+U, relaxed); space-group type = Imma (74); total DFT energy (no corrections) = -0.2000 Ha/atom
1.0
-3.190 3.368 4.481
3.190 -3.368 4.481
3.190 3.368 -4.481
Ni Pt Pb O
2 2 2 8
Direct
0.000 0.000 0.000
0.500 0.000 0.500
0.500 0.000 0.000
0.500 0.500 0.500
0.120 0.370 0.750
0.880 0.630 0.250
0.271 0.235 0.464
0.271 0.807 0.036
0.292 0.234 0.058
0.324 0.766 0.558
0.676 0.234 0.442
0.708 0.766 0.942
0.729 0.193 0.964
0.729 0.765 0.536